PBE-GGA RbTi2C, optimized geometry; space-group type = Fd-3m (227); total magnetization = 7.74 μB per cell; total DFT energy (no corrections) = -23.60 eV/f.u.
1.0
0.0000 4.7125 4.7125
4.7125 0.0000 4.7125
4.7125 4.7125 0.0000
Rb Ti C
2 4 2
Cartesian
1.1781 1.1781 1.1781
8.2468 8.2468 8.2468
4.7125 2.3562 2.3562
2.3562 4.7125 2.3562
2.3562 2.3562 4.7125
4.7125 4.7125 4.7125
3.5344 3.5344 3.5344
5.8906 5.8906 5.8906